A plane-wave DFT calculation with PBEsol was carried out for crystalline SiIrI2N at its relaxed geometry.

abc: 3.683 5.475 5.475
angles: 90.00 90.00 90.00
Atoms (fractional coordinates):
I 0.000 0.000 0.500
I 0.000 0.500 0.000
Si 0.500 0.500 0.500
Ir 0.500 0.000 0.000
N 0.000 0.000 0.000

Output
The calculation puts the total magnetization at 0.000 μB per formula unit. The total energy comes out at -22.37 eV per formula unit. As for the space group: No. 123. The uncorrected formation energy comes out at 1.052 eV/atom. For the excess energy over the best structure of this formula in the dataset, the calculation gives 2.276 eV/f.u.


A plane-wave DFT calculation with PBEsol was carried out for crystalline Ca2C at its relaxed geometry.

abc: 3.105 4.335 9.899
angles: 90.00 99.02 90.00
Atoms (fractional coordinates):
Ca 0.452 0.250 0.905
Ca 0.548 0.750 0.095
Ca 0.668 0.250 0.336
Ca 0.332 0.750 0.664
C 0.073 0.250 0.146
C 0.927 0.750 0.854

Output
The calculation puts the total magnetization at 0.000 μB per formula unit. The total energy comes out at -12.41 eV per formula unit. For the energy of formation from the pure elements, the calculation gives 0.50 eV/atom. As for the space group: No. 63. For the excess energy over the best structure of this formula in the dataset, the calculation gives 1.453 eV/f.u.


A plane-wave DFT calculation with PBEsol was carried out for crystalline Li2V3O6 at its relaxed geometry.

abc: 4.774 6.561 6.561
angles: 79.41 81.61 81.61
Site moments in Bohr magnetons follow the coordinates.
Atoms (fractional coordinates):
Li 0.250 0.670 0.830  0.00
Li 0.750 0.170 0.330  0.00
Li 0.250 0.332 0.168  0.00
Li 0.750 0.832 0.668  0.00
V 0.000 0.110 0.890  0.08
V 0.500 0.610 0.390  0.08
V 0.500 0.892 0.108  0.08
V 0.000 0.392 0.608  0.08
V 0.500 0.251 0.749  0.69
V 0.000 0.751 0.249  0.69
O 0.626 0.878 0.376  0.01
O 0.126 0.378 0.876  0.01
O 0.874 0.124 0.622  0.01
O 0.374 0.624 0.122  0.01
O 0.125 0.030 0.184  0.00
O 0.625 0.530 0.684  0.00
O 0.625 0.186 0.028  0.00
O 0.125 0.686 0.528  0.00
O 0.875 0.816 0.970  0.00
O 0.375 0.316 0.470  0.00
O 0.375 0.972 0.814  0.00
O 0.875 0.472 0.314  0.00

Output
The calculation puts the total magnetization at 0.957 μB per formula unit. The total energy comes out at -90.14 eV per formula unit. As for the space group: No. 12. The uncorrected formation energy comes out at -2.346 eV/atom. For the excess energy over the best structure of this formula in the dataset, the calculation gives 0.058 eV/f.u.


A plane-wave DFT calculation with PBEsol was carried out for crystalline SrTl3Au at its relaxed geometry.

abc: 6.050 6.050 6.050
angles: 90.00 90.00 90.00
Atoms (fractional coordinates):
Sr 0.000 0.000 0.000
Tl 0.000 0.500 0.000
Tl 0.000 0.000 0.500
Tl 0.500 0.000 0.000
Au 0.500 0.500 0.500

Output
The calculation puts the total magnetization at 0.001 μB per formula unit. The total energy comes out at -8.82 eV per formula unit. For the energy of formation from the pure elements, the calculation gives 0.97 eV/atom. As for the space group: No. 221.


A plane-wave DFT calculation with PBEsol was carried out for crystalline Ba4CaMn2MoO12 at its relaxed geometry.

abc: 5.817 5.817 10.218
angles: 73.46 73.46 60.00
Site moments in Bohr magnetons follow the coordinates.
Atoms (fractional coordinates):
Ba 0.630 0.630 0.111  0.01
Ba 0.367 0.367 0.899  0.00
Ba 0.795 0.795 0.615  0.01
Ba 0.224 0.224 0.329  0.01
Ca 0.504 0.504 0.489  0.01
Mn 0.997 0.997 0.008  2.62
Mn 0.910 0.910 0.269  2.60
Mo 0.088 0.088 0.735  0.04
O 0.106 0.106 0.125  0.04
O 0.664 0.106 0.125  0.04
O 0.106 0.664 0.125  0.04
O 0.893 0.893 0.879  0.01
O 0.334 0.893 0.879  0.01
O 0.893 0.334 0.879  0.01
O 0.277 0.277 0.644  0.01
O 0.802 0.277 0.644  0.01
O 0.277 0.802 0.644  0.01
O 0.726 0.726 0.367  0.06
O 0.181 0.726 0.367  0.06
O 0.726 0.181 0.367  0.06

Output
The calculation puts the total magnetization at 6.000 μB per formula unit. The total energy comes out at -154.95 eV per formula unit. As for the space group: No. 160. The uncorrected formation energy comes out at -2.497 eV/atom.


A plane-wave DFT calculation with PBEsol was carried out for crystalline CaSbTe4 at its relaxed geometry.

abc: 6.296 6.296 6.296
angles: 60.00 60.00 60.00
Atoms (fractional coordinates):
Sb 0.000 0.000 0.000
Ca 0.750 0.750 0.750
Te 0.374 0.374 0.374
Te 0.374 0.374 0.877
Te 0.877 0.374 0.374
Te 0.374 0.877 0.374

Output
The calculation puts the total magnetization at 0.000 μB per formula unit. The total energy comes out at -20.74 eV per formula unit. As for the space group: No. 216. The uncorrected formation energy comes out at 0.009 eV/atom.


A plane-wave DFT calculation with PBEsol was carried out for crystalline Cd2SnRh2 at its relaxed geometry.

abc: 4.127 6.625 6.625
angles: 90.00 90.00 90.00
Atoms (fractional coordinates):
Rh 0.000 0.357 0.857
Rh 0.000 0.857 0.643
Rh 0.000 0.643 0.143
Rh 0.000 0.143 0.357
Sn 0.000 0.000 0.000
Sn 0.000 0.500 0.500
Cd 0.500 0.156 0.656
Cd 0.500 0.656 0.844
Cd 0.500 0.844 0.344
Cd 0.500 0.344 0.156

Output
The calculation puts the total magnetization at 0.000 μB per formula unit. The total energy comes out at -23.96 eV per formula unit. For the energy of formation from the pure elements, the calculation gives -0.21 eV/atom. As for the space group: No. 127.


A plane-wave DFT calculation with PBEsol was carried out for crystalline KNaI2N at its relaxed geometry.

abc: 4.768 6.015 6.015
angles: 90.00 90.00 90.00
Site moments in Bohr magnetons follow the coordinates.
Atoms (fractional coordinates):
I 0.000 0.000 0.500  0.11
I 0.000 0.500 0.000  0.11
Na 0.000 0.000 0.000  0.01
K 0.500 0.500 0.500  0.00
N 0.500 0.000 0.000  1.77

Output
The calculation puts the total magnetization at 3.010 μB per formula unit. The total energy comes out at -14.48 eV per formula unit. As for the space group: No. 123. The uncorrected formation energy comes out at 0.023 eV/atom.


A plane-wave DFT calculation with PBEsol was carried out for crystalline HoIO at its relaxed geometry.

abc: 3.867 3.867 9.279
angles: 90.00 90.00 90.00
Atoms (fractional coordinates):
I 0.500 0.000 0.318
I 0.000 0.500 0.682
Ho 0.500 0.000 0.884
Ho 0.000 0.500 0.116
O 0.500 0.500 0.000
O 0.000 0.000 0.000

Output
The calculation puts the total magnetization at 0.000 μB per formula unit. The total energy comes out at -20.33 eV per formula unit. As for the space group: No. 129. The uncorrected formation energy comes out at -2.789 eV/atom.


A plane-wave DFT calculation with PBEsol was carried out for crystalline K4ZrPb at its relaxed geometry.

abc: 6.829 6.829 6.829
angles: 60.00 60.00 60.00
Site moments in Bohr magnetons follow the coordinates.
Atoms (fractional coordinates):
K 0.376 0.376 0.376  0.04
K 0.376 0.376 0.872  0.04
K 0.872 0.376 0.376  0.04
K 0.376 0.872 0.376  0.04
Pb 0.750 0.750 0.750  -0.07
Zr 0.000 0.000 0.000  1.63

Output
The calculation puts the total magnetization at 3.649 μB per formula unit. The total energy comes out at -12.78 eV per formula unit. For the energy of formation from the pure elements, the calculation gives 0.81 eV/atom. As for the space group: No. 216.


A plane-wave DFT calculation with PBEsol was carried out for crystalline LaIn2Pd2 at its relaxed geometry.

abc: 4.315 4.315 6.648
angles: 108.94 108.94 90.00
Atoms (fractional coordinates):
In 0.250 0.750 0.500
In 0.750 0.250 0.500
Pd 0.390 0.390 0.779
Pd 0.610 0.610 0.221
La 0.000 0.000 0.000

Output
The calculation puts the total magnetization at 0.000 μB per formula unit. The total energy comes out at -26.44 eV per formula unit. For the energy of formation from the pure elements, the calculation gives -0.64 eV/atom. As for the space group: No. 139.


A plane-wave DFT calculation with PBEsol was carried out for crystalline Li3MnP2HO8 at its relaxed geometry.

abc: 5.036 5.008 6.185
angles: 89.89 90.71 113.12
Site moments in Bohr magnetons follow the coordinates.
Atoms (fractional coordinates):
Li 0.000 0.000 0.500  0.00
Li 0.777 0.382 0.242  0.00
Li 0.223 0.618 0.758  0.00
Mn 0.000 0.000 0.000  4.50
P 0.639 0.360 0.751  0.01
P 0.361 0.640 0.249  0.01
H 0.500 0.000 0.500  0.00
O 0.750 0.244 0.947  0.03
O 0.250 0.756 0.053  0.03
O 0.706 0.220 0.541  0.01
O 0.294 0.780 0.459  0.01
O 0.807 0.692 0.735  0.03
O 0.193 0.308 0.265  0.03
O 0.692 0.729 0.241  0.03
O 0.308 0.271 0.759  0.03

Output
The calculation puts the total magnetization at 5.000 μB per formula unit. The total energy comes out at -103.99 eV per formula unit. As for the space group: No. 2.